Record 1
BaMgHg after structural relaxation. Source: Alexandria, functional GGA-PBE.

Unit cell a=5.1299 b=5.1299 c=4.5274 alpha=90.00 beta=90.00 gamma=120.00
Closest atoms and distances in Å follow each position.
Positions (direct):
1 Ba 0.0000 0.0000 0.0000  6 Hg 3.73, 6 Mg 3.73
2 Mg 0.3333 0.6667 0.5000  3 Hg 2.96
3 Hg 0.6667 0.3333 0.5000  3 Mg 2.96

=====

Record 2
BaMgHg6 after structural relaxation. Source: Alexandria, functional GGA-PBE.

Output
The offset from the most stable computed form is 161 meV per atom.

Unit cell a=9.6570 b=9.6570 c=9.6570 alpha=36.96 beta=36.96 gamma=36.96
Closest atoms and distances in Å follow each position.
Positions (direct):
1 Ba 0.0000 0.0000 0.0000  6 Hg 3.46
2 Mg 0.5000 0.5000 0.5000  12 Hg 3.42
3 Hg 0.0592 0.0592 0.5524  5 Hg 3.02-3.10
4 Hg 0.0592 0.5524 0.0592  5 Hg 3.02-3.10
5 Hg 0.4476 0.9408 0.9408  5 Hg 3.02-3.10
6 Hg 0.5524 0.0592 0.0592  5 Hg 3.02-3.10
7 Hg 0.9408 0.4476 0.9408  5 Hg 3.02-3.10
8 Hg 0.9408 0.9408 0.4476  5 Hg 3.02-3.10

=====

Record 3
BaMgHg after structural relaxation. Source: Alexandria, functional GGA-PBE.

Unit cell a=5.6372 b=5.6372 c=5.6372 alpha=60.00 beta=60.00 gamma=60.00
Closest atoms and distances in Å follow each position.
Positions (direct):
1 Ba 0.0000 0.0000 0.0000  4 Hg 3.45, 4 Mg 3.45
2 Mg 0.7500 0.7500 0.7500  4 Ba 3.45
3 Hg 0.2500 0.2500 0.2500  4 Ba 3.45

=====

Record 4
BaMg3Hg4 after structural relaxation. Source: Alexandria, functional GGA-PBE.

Unit cell a=5.1353 b=5.1353 c=8.4983 alpha=90.00 beta=90.00 gamma=90.00
Closest atoms and distances in Å follow each position.
Positions (direct):
1 Ba 0.0000 0.0000 0.0000  8 Hg 3.74, 8 Mg 3.93
2 Mg 0.0000 0.0000 0.5000  8 Hg 2.99
3 Mg 0.5000 0.5000 0.1772  4 Hg 2.84, 1 Mg 3.01
4 Mg 0.5000 0.5000 0.8228  4 Hg 2.84, 1 Mg 3.01
5 Hg 0.0000 0.5000 0.3207  4 Mg 2.84-2.99, 1 Hg 3.05
6 Hg 0.0000 0.5000 0.6793  4 Mg 2.84-2.99, 1 Hg 3.05
7 Hg 0.5000 0.0000 0.3207  4 Mg 2.84-2.99, 1 Hg 3.05
8 Hg 0.5000 0.0000 0.6793  4 Mg 2.84-2.99, 1 Hg 3.05

=====

Record 5
BaMg4Hg6 after structural relaxation. Source: Alexandria, functional GGA-PBE.

Unit cell a=8.1054 b=8.1054 c=4.8601 alpha=90.00 beta=90.00 gamma=120.00
Closest atoms and distances in Å follow each position.
Positions (direct):
1 Ba 0.0000 0.0000 0.0000  9 Hg 3.65-3.69, 6 Mg 3.85
2 Mg 0.1366 0.7196 0.5000  6 Hg 2.79-3.11
3 Mg 0.2804 0.4170 0.5000  6 Hg 2.79-3.11
4 Mg 0.5830 0.8634 0.5000  6 Hg 2.79-3.11
5 Mg 0.6667 0.3333 0.0000  9 Hg 2.96-3.13
6 Hg 0.0839 0.4859 0.0000  5 Mg 2.96-3.11, 4 Hg 3.07-3.13
7 Hg 0.3915 0.1423 0.5000  2 Mg 2.79-2.99, 2 Hg 3.07
8 Hg 0.4021 0.9161 0.0000  5 Mg 2.96-3.11, 4 Hg 3.07-3.13
9 Hg 0.5141 0.5979 0.0000  5 Mg 2.96-3.11, 4 Hg 3.07-3.13
10 Hg 0.7507 0.6085 0.5000  2 Mg 2.79-2.99, 2 Hg 3.07
11 Hg 0.8577 0.2493 0.5000  2 Mg 2.79-2.99, 2 Hg 3.07

=====

Record 6
BaMg2Hg8 after structural relaxation. Source: Alexandria, functional GGA-PBE.

Output
The offset from the most stable computed form is 127 meV per atom.

Unit cell a=6.5707 b=6.5707 c=8.5398 alpha=90.00 beta=90.00 gamma=90.00
Closest atoms and distances in Å follow each position.
Positions (direct):
1 Ba 0.0000 0.0000 0.0000  8 Hg 3.51
2 Mg 0.0000 0.5000 0.5000  8 Hg 2.93
3 Mg 0.5000 0.0000 0.5000  8 Hg 2.93
4 Hg 0.2664 0.2664 0.2910  2 Mg 2.93, 2 Hg 3.07
5 Hg 0.2664 0.2664 0.7090  2 Mg 2.93, 2 Hg 3.07
6 Hg 0.2664 0.7336 0.2910  2 Mg 2.93, 2 Hg 3.07
7 Hg 0.2664 0.7336 0.7090  2 Mg 2.93, 2 Hg 3.07
8 Hg 0.7336 0.2664 0.2910  2 Mg 2.93, 2 Hg 3.07
9 Hg 0.7336 0.2664 0.7090  2 Mg 2.93, 2 Hg 3.07
10 Hg 0.7336 0.7336 0.2910  2 Mg 2.93, 2 Hg 3.07
11 Hg 0.7336 0.7336 0.7090  2 Mg 2.93, 2 Hg 3.07

=====

Record 7
BaMg3Hg2 after structural relaxation. Source: Alexandria, functional GGA-PBE.

Output
The offset from the most stable computed form is 0 meV per atom.

Unit cell a=9.9348 b=9.9348 c=11.7451 alpha=105.46 beta=105.46 gamma=26.78
Closest atoms and distances in Å follow each position.
Positions (direct):
1 Ba 0.0000 0.0000 0.0000  6 Hg 3.60-3.80, 6 Mg 3.79-3.93
2 Ba 0.1545 0.1545 0.7066  6 Hg 3.58-3.67, 5 Mg 3.80-3.86
3 Ba 0.8455 0.8455 0.2934  6 Hg 3.58-3.67, 5 Mg 3.80-3.86
4 Mg 0.0488 0.0488 0.3478  4 Hg 2.96-3.01, 3 Mg 3.08-3.21
5 Mg 0.2138 0.2138 0.3959  4 Hg 2.83-2.96, 1 Mg 3.08
6 Mg 0.3211 0.3211 0.0221  4 Hg 2.94-3.12, 1 Mg 3.20
7 Mg 0.3718 0.3718 0.7846  4 Hg 2.90-3.10, 1 Mg 3.20
8 Mg 0.5000 0.5000 0.5000  2 Hg 2.85
9 Mg 0.6282 0.6282 0.2154  4 Hg 2.90-3.10, 1 Mg 3.20
10 Mg 0.6789 0.6789 0.9779  4 Hg 2.94-3.12, 1 Mg 3.20
11 Mg 0.7862 0.7862 0.6041  4 Hg 2.83-2.96, 1 Mg 3.08
12 Mg 0.9512 0.9512 0.6522  4 Hg 2.96-3.01, 3 Mg 3.08-3.21
13 Hg 0.2021 0.2021 0.1395  6 Mg 2.94-2.99
14 Hg 0.3590 0.3590 0.5325  7 Mg 2.83-3.01
15 Hg 0.4681 0.4681 0.2163  5 Mg 2.96-3.22
16 Hg 0.5319 0.5319 0.7837  5 Mg 2.96-3.22
17 Hg 0.6410 0.6410 0.4675  7 Mg 2.83-3.01
18 Hg 0.7979 0.7979 0.8605  6 Mg 2.94-2.99

=====

Record 8
BaMgHg2 after structural relaxation. Source: Alexandria, functional GGA-PBE.

Unit cell a=5.5106 b=5.5106 c=5.5106 alpha=60.00 beta=60.00 gamma=60.00
Closest atoms and distances in Å follow each position.
Positions (direct):
1 Ba 0.0000 0.0000 0.0000  4 Mg 3.37, 4 Hg 3.37
2 Mg 0.7500 0.7500 0.7500  4 Hg 3.37, 4 Ba 3.37
3 Hg 0.2500 0.2500 0.2500  4 Hg 3.37, 4 Ba 3.37
4 Hg 0.5000 0.5000 0.5000  4 Mg 3.37, 4 Hg 3.37

=====

no.,calculated formation energy (eV/atom)
1,-0.317
2,-0.077
3,0.117
4,-0.221
5,-0.262
6,-0.090
7,-0.312
8,-0.219